The following is a DFT calculation (PBE) of a relaxed structure of Cs3Ac3UTe8.

Output
space-group type = No. 12
M_tot = 0.13 μB/atom
formation energy without anion corrections = -1.31 eV/atom

a b c (Å): 9.6125 9.6136 10.6733
angles (deg): 116.76 89.99 120.06
Last column: nearest neighbours and their distance in Å.
Sites, in units of the cell vectors:
Ac (0.5000, 0.5000, 0.5000)  6 Te 3.34-3.35
Ac (0.0000, 0.5000, 0.5000)  6 Te 3.34-3.35
Te (0.2481, 0.0291, 0.3104)  1 U 3.11, 2 Ac 3.35
U (0.0000, 0.0000, 0.5000)  6 Te 3.11-3.12
Te (0.2190, 0.9708, 0.6896)  1 U 3.12, 2 Ac 3.35
Cs (0.0000, 0.0000, 0.0000)  6 Te 3.87-3.90
Te (0.7810, 0.0292, 0.3104)  1 U 3.12, 2 Ac 3.35
Cs (0.0000, 0.5000, 0.0000)  6 Te 3.88-3.90
Te (0.7344, 0.4689, 0.7032)  3 Ac 3.34
Te (0.7811, 0.5622, 0.3104)  1 U 3.11, 2 Ac 3.35
Cs (0.5000, 0.5000, 0.0000)  6 Te 3.88-3.90
Te (0.2656, 0.5311, 0.2968)  3 Ac 3.34
Te (0.7519, 0.9709, 0.6896)  1 U 3.11, 2 Ac 3.35
Te (0.2189, 0.4378, 0.6896)  1 U 3.11, 2 Ac 3.35
Ac (0.5000, 0.0000, 0.5000)  6 Te 3.34-3.35

=====

The following is a DFT calculation (PBE) of a relaxed structure of CaZnCr3.

Output
space-group type = No. 221
M_tot = 0.25 μB/atom
relative energy among the computed polymorphs = 1521.4 meV/atom

a b c (Å): 4.3307 4.3307 4.3307
angles (deg): 90.00 90.00 90.00
Last column: nearest neighbours and their distance in Å.
Sites, in units of the cell vectors:
Zn (0.5000, 0.5000, 0.5000)  12 Cr 3.06
Cr (0.0000, 0.5000, 0.0000)  2 Ca 2.17
Cr (0.5000, 0.0000, 0.0000)  2 Ca 2.17
Cr (0.0000, 0.0000, 0.5000)  2 Ca 2.17
Ca (0.0000, 0.0000, 0.0000)  6 Cr 2.17

=====

> What is the M_tot in the second record?

0.25 μB/atom

=====

Repeat the second record exactly.
The following is a DFT calculation (PBE) of a relaxed structure of CaZnCr3.

Output
space-group type = No. 221
M_tot = 0.25 μB/atom
relative energy among the computed polymorphs = 1521.4 meV/atom

a b c (Å): 4.3307 4.3307 4.3307
angles (deg): 90.00 90.00 90.00
Last column: nearest neighbours and their distance in Å.
Sites, in units of the cell vectors:
Zn (0.5000, 0.5000, 0.5000)  12 Cr 3.06
Cr (0.0000, 0.5000, 0.0000)  2 Ca 2.17
Cr (0.5000, 0.0000, 0.0000)  2 Ca 2.17
Cr (0.0000, 0.0000, 0.5000)  2 Ca 2.17
Ca (0.0000, 0.0000, 0.0000)  6 Cr 2.17